(1)
Below is a relaxed LaPrCu2Ge2 crystal, with properties calculated at the GGA-PBE level.

abc: 4.3320 4.3320 8.0417
angles: 90.00 90.00 120.00
Element x y z (fractional)
La: 0.0000 0.0000 0.5000
Pr: 0.0000 0.0000 0.0000
Cu: 0.3333 0.6667 0.7567
Cu: 0.6667 0.3333 0.2433
Ge: 0.3333 0.6667 0.2471
Ge: 0.6667 0.3333 0.7529

Its crystal system is trigonal. The calculation puts the density at 7.0 Mg/m³. The calculation puts the total energy at -31.11 eV for the cell shown. For the energy of formation from the pure elements, the calculation gives -0.663 eV per atom. The symmetry is P-3m1 (164).


(2)
Below is a relaxed LaPr2Cu2Ge2 crystal, with properties calculated at the GGA-PBE level.

abc: 4.3658 4.3658 10.4328
angles: 77.92 77.92 60.00
Element x y z (fractional)
La: 0.0000 0.0000 0.0000
Pr: 0.1259 0.1259 0.6224
Pr: 0.8741 0.8741 0.3776
Cu: 0.5980 0.5980 0.2060
Cu: 0.4020 0.4020 0.7940
Ge: 0.7340 0.7340 0.7981
Ge: 0.2660 0.2660 0.2019

Its crystal system is trigonal. The calculation puts the density at 6.9 Mg/m³. The calculation puts the total energy at -35.38 eV for the cell shown. For the energy of formation from the pure elements, the calculation gives -0.495 eV per atom. The symmetry is R-3m (166).